# TlW2O7 | Alexandria via LeMat-Bulk | PBE with a Hubbard U | optimized geometry
data_TlW2O7
_cell_length_a 3.8494
_cell_length_b 6.0541
_cell_length_c 6.0541
_cell_angle_alpha 116.39
_cell_angle_beta 90.00
_cell_angle_gamma 90.00
_space_group_name_H-M_alt 'P 1'
_space_group_IT_number 1
loop_
_space_group_symop_operation_xyz
'x,y,z'
loop_
_atom_site_label
_atom_site_type_symbol
_atom_site_fract_x
_atom_site_fract_y
_atom_site_fract_z
O1 O 0.0000 0.3052 0.6948
O2 O 0.5000 0.6679 0.9603
O3 O 0.5000 0.5000 0.5000
W1 W 0.5000 0.6902 0.3098
W2 W 0.5000 0.3098 0.6902
O4 O 0.0000 0.6948 0.3052
O5 O 0.5000 0.3321 0.0397
O6 O 0.5000 0.0397 0.3321
O7 O 0.5000 0.9603 0.6679
Tl1 Tl 0.0000 0.0000 0.0000
# ρ	9.0	Mg/m³
# total DFT energy (no corrections)	-6.757	eV/atom